VASP calculation (PBE) on crystalline Nd2YCd at its relaxed geometry.

Its space group is R-3m. The value obtained for the energy of formation is 0.6 eV per formula unit. For the size of the total moment, the calculation gives 0.00 Bohr magnetons per cell. As for the crystal system: trigonal. The value obtained for the excess energy over the best structure of this formula in the dataset is 301.8 meV/atom.

Cell lengths 3.540, 3.540, 12.610 Å; angles 81.93, 81.93, 60.00 degrees
Element x y z (fractional)
Y  0.500  0.500  0.500
Nd  0.089  0.089  0.734
Nd  0.911  0.911  0.266
Cd  0.000  0.000  0.000

VASP calculation (PBE) on crystalline Ho7ErTh2 at its relaxed geometry.

Its space group is Cmmm. The value obtained for the energy of formation is 4.7 eV per formula unit. For the size of the total moment, the calculation gives 0.00 Bohr magnetons per cell. As for the crystal system: orthorhombic. The value obtained for the excess energy over the best structure of this formula in the dataset is 0.0 meV/atom.

Cell lengths 10.193, 10.193, 3.483 Å; angles 90.00, 90.00, 108.53 degrees
Element x y z (fractional)
Ho  0.332  0.668  0.000
Ho  0.668  0.332  0.000
Ho  0.386  0.132  0.500
Ho  0.614  0.868  0.500
Ho  0.132  0.386  0.500
Ho  0.868  0.614  0.500
Ho  0.500  0.500  0.500
Er  0.000  0.000  0.000
Th  0.174  0.826  0.500
Th  0.826  0.174  0.500

VASP calculation (PBE) on crystalline Rb2RuICl at its relaxed geometry.

Its space group is P4/mmm. The calculation puts the uncorrected formation energy at 28 kJ per mole of atoms. For the size of the total moment, the calculation gives 3.81 Bohr magnetons per cell. As for the crystal system: tetragonal.

Cell lengths 6.030, 7.296, 6.030 Å; angles 90.00, 90.00, 90.00 degrees
Last column: magnetic moment on the atom in μB.
Element x y z (fractional)
I  0.000  0.500  0.000  0.10
Ru  0.500  0.500  0.500  2.81
Rb  0.000  0.000  0.500  0.00
Rb  0.500  0.000  0.000  0.00
Cl  0.000  0.000  0.000  0.00

VASP calculation (PBE) on crystalline CePmGa2 at its relaxed geometry.

Its space group is P4/mmm. The value obtained for the energy of formation is -2.1 eV per formula unit. For the size of the total moment, the calculation gives 0.45 Bohr magnetons per cell. As for the crystal system: tetragonal.

Cell lengths 3.426, 3.426, 8.175 Å; angles 90.00, 90.00, 90.00 degrees
Last column: magnetic moment on the atom in μB.
Element x y z (fractional)
Ga  0.000  0.000  0.751  -0.01
Ga  0.000  0.000  0.249  -0.01
Ce  0.500  0.500  0.000  0.41
Pm  0.500  0.500  0.500  0.00

VASP calculation (PBE) on crystalline K2Al7Au12 at its relaxed geometry.

Its space group is P-3. The value obtained for the energy of formation is -6.9 eV per formula unit. For the size of the total moment, the calculation gives 0.00 Bohr magnetons per cell. As for the crystal system: trigonal.

Cell lengths 4.450, 10.405, 10.405 Å; angles 120.00, 90.00, 90.00 degrees
Element x y z (fractional)
K  0.240  0.333  0.667
K  0.760  0.667  0.333
Al  0.500  0.000  0.000
Al  0.277  0.896  0.285
Al  0.277  0.389  0.104
Al  0.277  0.715  0.611
Al  0.723  0.104  0.715
Al  0.723  0.611  0.896
Al  0.723  0.285  0.389
Au  0.246  0.616  0.066
Au  0.246  0.450  0.384
Au  0.246  0.934  0.550
Au  0.754  0.384  0.934
Au  0.754  0.550  0.616
Au  0.754  0.066  0.450
Au  0.219  0.129  0.259
Au  0.219  0.130  0.871
Au  0.219  0.741  0.870
Au  0.781  0.871  0.741
Au  0.781  0.870  0.129
Au  0.781  0.259  0.130

VASP calculation (PBE) on crystalline BaMgZnGa2 at its relaxed geometry.

Its space group is I-4m2. The value obtained for the energy of formation is -1.6 eV per formula unit. For the size of the total moment, the calculation gives 0.00 Bohr magnetons per cell. As for the crystal system: tetragonal.

Cell lengths 4.642, 4.642, 6.529 Å; angles 110.82, 110.82, 90.00 degrees
Element x y z (fractional)
Ba  0.000  0.000  0.000
Mg  0.250  0.750  0.500
Zn  0.750  0.250  0.500
Ga  0.616  0.616  0.232
Ga  0.384  0.384  0.768

Question: What is the formula in the first record?
Answer: Nd2YCd